Entry 1:
# LaSiRh4 (PBE, optimized geometry)
data_LaSiRh4
_symmetry_space_group_name_H-M 'F -4 3 m'
_symmetry_Int_Tables_number 216
_symmetry_space_group_name_Hall 'F -4 2 3'
_cell_length_a 7.4848
_cell_length_b 7.4848
_cell_length_c 7.4848
_cell_angle_alpha 90.00
_cell_angle_beta 90.00
_cell_angle_gamma 90.00
loop_
_atom_site_label
_atom_site_type_symbol
_atom_site_fract_x
_atom_site_fract_y
_atom_site_fract_z
La1 La 0.0000 0.0000 0.0000
Si1 Si 0.2500 0.2500 0.2500
Rh1 Rh 0.1236 0.1236 0.6236
# Uncorrected formation energy (eV/atom): -0.25
# Uncorrected energy (eV per atom): -6.874

=====

Entry 2:
# NaCoTe2N (PBE, optimized geometry)
data_NaCoTe2N
_symmetry_space_group_name_H-M 'P 4/m m m'
_symmetry_Int_Tables_number 123
_symmetry_space_group_name_Hall '-P 4 2'
_cell_length_a 5.5899
_cell_length_b 5.5899
_cell_length_c 3.3647
_cell_angle_alpha 90.00
_cell_angle_beta 90.00
_cell_angle_gamma 90.00
loop_
_atom_site_label
_atom_site_type_symbol
_atom_site_fract_x
_atom_site_fract_y
_atom_site_fract_z
Na1 Na 0.0000 0.0000 0.0000
Co1 Co 0.5000 0.5000 0.5000
Te1 Te 0.0000 0.5000 0.5000
N1 N 0.5000 0.5000 0.0000
# Uncorrected formation energy (eV/atom): -0.02
# Excess energy over the best structure of this formula in the dataset (kJ/mol of formula units): 0
# Uncorrected energy (eV per atom): -4.623